Density functional theory data (GGA-PBE) for a geometry-optimized PrTlTe4 structure.

abc: 6.9492 6.9492 8.8256
angles: 90.00 90.00 90.00
With the nearest neighbours (Å) after each atom.
Space group P4/nbm (No. 125, origin choice 2)
One atom of each set of equivalent atoms:
Pr 0.2500 0.2500 0.0000 (multiplicity 2)  8 Te 3.30
Tl 0.2500 0.2500 0.5000 (multiplicity 2)  8 Te 3.63
Te 0.1061 0.6061 0.2207 (multiplicity 8)  1 Te 2.83

- Calculated volume: 35.52 Å³/atom
- Raw formation energy: -421 kJ/mol of formula units
- Theoretical density: 6.67 g cm⁻³